Model i:
Density functional theory data (GGA-PBE) for Nd4Sm3Y5 after structural relaxation.

Unit cell a=8.6707 b=8.6707 c=9.4279 alpha=114.58 beta=114.58 gamma=40.50
Fractional coordinates of all 12 atoms:
Nd  0.0844  0.0844  0.4467
Nd  0.2138  0.2138  0.8835
Nd  0.7862  0.7862  0.1165
Nd  0.9156  0.9156  0.5533
Sm  0.2108  0.2108  0.2344
Sm  0.5000  0.5000  0.0000
Sm  0.7892  0.7892  0.7656
Y  0.0000  0.0000  0.0000
Y  0.3289  0.3289  0.6145
Y  0.4281  0.4281  0.2991
Y  0.5719  0.5719  0.7009
Y  0.6711  0.6711  0.3855

* D(E_F): 19.37 states/eV/f.u.



Model ii:
Density functional theory data (GGA-PBE) for Nd4Sm3Y5 after structural relaxation.

Unit cell a=6.2789 b=7.2396 c=8.8666 alpha=89.93 beta=89.93 gamma=89.98
Fractional coordinates of all 12 atoms:
Nd  0.1668  0.2492  0.3313
Nd  0.3313  0.5001  0.6668
Nd  0.6687  0.4999  0.3332
Nd  0.8332  0.7508  0.6687
Sm  0.0000  0.0000  0.0000
Sm  0.1673  0.7508  0.3313
Sm  0.8327  0.2492  0.6687
Y  0.0000  0.5000  0.0000
Y  0.3329  0.0003  0.6685
Y  0.5002  0.2486  0.9999
Y  0.4998  0.7514  0.0001
Y  0.6671  0.9997  0.3315

* D(E_F): 17.15 states/eV/f.u.



Verdict on stability: model ii comes out on top.



Model i:
Density functional theory data (GGA-PBE) for Nd4Sm6Y after structural relaxation.

Unit cell a=9.8276 b=9.8276 c=9.8276 alpha=139.89 beta=139.89 gamma=58.01
Fractional coordinates of all 11 atoms:
Nd  0.0123  0.6335  0.0000
Nd  0.3665  0.3665  0.3788
Nd  0.6335  0.0123  0.0000
Nd  0.9877  0.9877  0.6212
Sm  0.0000  0.5000  0.5000
Sm  0.1995  0.1995  0.6480
Sm  0.4486  0.8005  0.0000
Sm  0.5000  0.0000  0.5000
Sm  0.5514  0.5514  0.3520
Sm  0.8005  0.4486  0.0000
Y  0.0000  0.0000  0.0000

* D(E_F): 16.67 states/eV/f.u.



Model ii:
Density functional theory data (GGA-PBE) for Nd4Sm6Y after structural relaxation.

Unit cell a=8.6654 b=8.6654 c=8.6654 alpha=127.31 beta=127.31 gamma=77.75
Fractional coordinates of all 11 atoms:
Nd  0.2487  0.2487  0.6541
Nd  0.4054  0.7513  0.0000
Nd  0.5946  0.5946  0.3459
Nd  0.7513  0.4054  0.0000
Sm  0.0000  0.5000  0.5000
Sm  0.0440  0.5813  0.0000
Sm  0.4187  0.4187  0.4627
Sm  0.5000  0.0000  0.5000
Sm  0.5813  0.0440  0.0000
Sm  0.9560  0.9560  0.5373
Y  0.0000  0.0000  0.0000

* D(E_F): 13.52 states/eV/f.u.



Verdict on stability: model i comes out on top.



Model i:
Density functional theory data (GGA-PBE) for Nd4SmY5 after structural relaxation.

Unit cell a=8.8985 b=8.8985 c=11.2472 alpha=90.02 beta=90.02 gamma=23.14
Fractional coordinates of all 10 atoms:
Nd  0.0299  0.0299  0.2497
Nd  0.3460  0.3460  0.2501
Nd  0.6540  0.6540  0.7499
Nd  0.9701  0.9701  0.7503
Sm  0.5000  0.5000  0.5000
Y  0.1740  0.1740  0.0547
Y  0.1748  0.1748  0.4435
Y  0.5000  0.5000  0.0000
Y  0.8252  0.8252  0.5565
Y  0.8260  0.8260  0.9453

* D(E_F): 14.76 states/eV/f.u.



Model ii:
Density functional theory data (GGA-PBE) for Nd4SmY5 after structural relaxation.

Unit cell a=3.6335 b=3.6335 c=25.3977 alpha=90.00 beta=90.00 gamma=90.00
Fractional coordinates of all 10 atoms:
Nd  0.0000  0.0000  0.1004
Nd  0.0000  0.0000  0.3009
Nd  0.0000  0.0000  0.6991
Nd  0.0000  0.0000  0.8996
Sm  0.0000  0.0000  0.5000
Y  0.5000  0.5000  0.0000
Y  0.5000  0.5000  0.2007
Y  0.5000  0.5000  0.4012
Y  0.5000  0.5000  0.5988
Y  0.5000  0.5000  0.7993

* D(E_F): 14.35 states/eV/f.u.



Verdict on stability: model ii comes out on top.